Computed, not measured: a relaxed structure of RbIn4Pb2 at the PBE level of DFT.

abc: 7.2433 7.2433 7.2433
angles: 107.25 107.25 114.00
Fractional coordinates of all 7 atoms:
1 Rb 0.0000 0.0000 0.0000
2 In 0.7406 0.5000 0.2406
3 In 0.5000 0.7406 0.2406
4 In 0.5000 0.2594 0.7594
5 In 0.2594 0.5000 0.7594
6 Pb 0.2500 0.7500 0.5000
7 Pb 0.7500 0.2500 0.5000

Computed properties:
M_tot, μB per formula unit: 0.00
Total energy, eV per cell: -18.74
Crystal system: tetragonal
Space group: No. 139

Computed, not measured: a relaxed structure of RbIn5Pb at the PBE level of DFT.

abc: 4.6003 4.6003 11.3998
angles: 90.00 90.00 90.00
Fractional coordinates of all 7 atoms:
1 In 0.0000 0.5000 0.2277
2 In 0.5000 0.0000 0.2277
3 In 0.5000 0.0000 0.7723
4 In 0.0000 0.5000 0.7723
5 In 0.5000 0.5000 0.0000
6 Rb 0.0000 0.0000 0.5000
7 Pb 0.0000 0.0000 0.0000

Computed properties:
M_tot, μB per formula unit: 0.00
Total energy, eV per cell: -18.45
Crystal system: tetragonal
Space group: No. 123

Computed, not measured: a relaxed structure of RbIn3Pb9 at the PBE level of DFT.

abc: 6.3468 8.6952 8.8216
angles: 82.85 68.92 69.75
Fractional coordinates of all 13 atoms:
1 In 0.0000 0.0000 0.5000
2 In 0.5000 0.5000 0.0000
3 In 0.5000 0.0000 0.5000
4 Pb 0.9994 0.3556 0.6411
5 Pb 0.4949 0.7837 0.2207
6 Pb 0.5051 0.2163 0.7793
7 Pb 0.3595 0.6444 0.6411
8 Pb 0.6405 0.3556 0.3589
9 Pb 0.2844 0.2163 0.2207
10 Pb 0.0000 0.5000 0.0000
11 Pb 0.7156 0.7837 0.7793
12 Pb 0.0006 0.6444 0.3589
13 Rb 0.0000 0.0000 0.0000

Computed properties:
M_tot, μB per formula unit: 0.00
Total energy, eV per cell: -42.86
Crystal system: monoclinic
Space group: No. 12

Computed, not measured: a relaxed structure of RbIn4Pb at the PBE level of DFT.

abc: 6.4548 6.4548 6.4548
angles: 60.00 60.00 60.00
Fractional coordinates of all 6 atoms:
1 Rb 0.2500 0.2500 0.2500
2 In 0.6253 0.6253 0.6253
3 In 0.6253 0.1241 0.6253
4 In 0.6253 0.6253 0.1241
5 In 0.1241 0.6253 0.6253
6 Pb 0.0000 0.0000 0.0000

Computed properties:
M_tot, μB per formula unit: 0.00
Total energy, eV per cell: -15.64
Crystal system: cubic
Space group: No. 216

Computed, not measured: a relaxed structure of Rb3In5Pb2 at the PBE level of DFT.

abc: 7.7835 10.7544 10.7544
angles: 69.50 68.78 68.78
Fractional coordinates of all 20 atoms:
1 Pb 0.6579 0.9779 0.7062
2 Pb 0.1579 0.7062 0.9779
3 Pb 0.3421 0.0221 0.2938
4 Pb 0.8421 0.2938 0.0221
5 In 0.7500 0.5000 0.5000
6 In 0.9888 0.2612 0.2612
7 In 0.4888 0.2612 0.2612
8 In 0.8785 0.4975 0.7455
9 In 0.2500 0.5000 0.5000
10 In 0.1215 0.5025 0.2545
11 In 0.0112 0.7388 0.7388
12 In 0.6215 0.2545 0.5025
13 In 0.5112 0.7388 0.7388
14 In 0.3785 0.7455 0.4975
15 Rb 0.7500 0.0000 0.0000
16 Rb 0.3762 0.3826 0.8650
17 Rb 0.1238 0.1350 0.6174
18 Rb 0.8762 0.8650 0.3826
19 Rb 0.6238 0.6174 0.1350
20 Rb 0.2500 0.0000 0.0000

Computed properties:
M_tot, μB per formula unit: 0.00
Total energy, eV per cell: -49.29
Crystal system: orthorhombic
Space group: No. 72

Computed, not measured: a relaxed structure of Rb2In3Pb6 at the PBE level of DFT.

abc: 5.6109 9.1828 9.1828
angles: 120.00 90.00 90.00
Fractional coordinates of all 11 atoms:
1 Pb 0.0000 0.2029 0.2029
2 Pb 0.0000 0.0000 0.7971
3 Pb 0.0000 0.7971 0.0000
4 Pb 0.5000 0.7296 0.7296
5 Pb 0.5000 0.2704 0.0000
6 Pb 0.5000 0.0000 0.2704
7 In 0.5000 0.0000 0.6124
8 In 0.5000 0.3876 0.3876
9 In 0.5000 0.6124 0.0000
10 Rb 0.0000 0.6667 0.3333
11 Rb 0.0000 0.3333 0.6667

Computed properties:
M_tot, μB per formula unit: 0.00
Total energy, eV per cell: -32.95
Crystal system: hexagonal
Space group: No. 189

Computed, not measured: a relaxed structure of RbIn2Pb2 at the PBE level of DFT.

abc: 9.6320 9.6320 3.5970
angles: 90.00 90.00 90.00
Fractional coordinates of all 10 atoms:
1 In 0.3666 0.8666 0.0000
2 In 0.1334 0.3666 0.0000
3 In 0.8666 0.6334 0.0000
4 In 0.6334 0.1334 0.0000
5 Pb 0.8460 0.3460 0.5000
6 Pb 0.3460 0.1540 0.5000
7 Pb 0.1540 0.6540 0.5000
8 Pb 0.6540 0.8460 0.5000
9 Rb 0.5000 0.5000 0.0000
10 Rb 0.0000 0.0000 0.0000

Computed properties:
M_tot, μB per formula unit: 0.00
Total energy, eV per cell: -28.22
Crystal system: tetragonal
Space group: No. 127

Computed, not measured: a relaxed structure of RbInPb2 at the PBE level of DFT.

abc: 5.6590 5.6590 11.2509
angles: 75.43 75.43 90.00
Fractional coordinates of all 8 atoms:
1 Pb 0.3750 0.2756 0.7500
2 Pb 0.8750 0.9744 0.7500
3 Pb 0.0256 0.6250 0.2500
4 Pb 0.7244 0.1250 0.2500
5 In 0.7500 0.2500 0.5000
6 In 0.0000 0.0000 0.0000
7 Rb 0.2500 0.7500 0.5000
8 Rb 0.5000 0.5000 0.0000

Computed properties:
M_tot, μB per formula unit: 0.00
Total energy, eV per cell: -21.41
Crystal system: tetragonal
Space group: No. 122